[1]
# PBE HfNiCl3, optimized geometry
data_HfNiCl3
_chemical_formula_sum 'Hf1 Ni1 Cl3'
_space_group_name_H-M_alt 'P m -3 m'
_space_group_IT_number 221
_space_group_name_Hall '-P 4 2 3'
_cell_length_a 4.578
_cell_length_b 4.578
_cell_length_c 4.578
_cell_angle_alpha 90.00
_cell_angle_beta 90.00
_cell_angle_gamma 90.00
loop_
_atom_site_label
_atom_site_fract_x
_atom_site_fract_y
_atom_site_fract_z
Hf1 0.000 0.000 0.000
Ni1 0.500 0.500 0.500
Cl1 0.000 0.500 0.500
# Total moment (μB per atom): 0.0001
# Crystal system: cubic
# Offset from the most stable computed form (eV per atom): 0.348
# ΔE_f (raw) (eV per atom): 0.09

=====

[2]
# PBE Th2NiSb, optimized geometry
data_Th2NiSb
_chemical_formula_sum 'Th6 Ni3 Sb3'
_space_group_name_H-M_alt 'R -3 m'
_space_group_IT_number 166
_space_group_name_Hall '-R 3 2"'
_cell_length_a 3.6528
_cell_length_b 3.6528
_cell_length_c 30.3002
_cell_angle_alpha 90.00
_cell_angle_beta 90.00
_cell_angle_gamma 120.00
loop_
_atom_site_label
_atom_site_fract_x
_atom_site_fract_y
_atom_site_fract_z
Th1 0.0000 0.0000 0.1058
Ni1 0.0000 0.0000 0.5000
Sb1 0.0000 0.0000 0.0000
# Total moment (μB per atom): 0.0000
# Crystal system: trigonal
# ΔE_f (raw) (eV per atom): -0.01

=====

[3]
# PBE Co5W, optimized geometry
data_Co5W
_chemical_formula_sum 'Co10 W2'
_space_group_name_H-M_alt 'A m m 2'
_space_group_IT_number 38
_cell_length_a 4.078
_cell_length_b 2.579
_cell_length_c 13.255
_cell_angle_alpha 90.00
_cell_angle_beta 90.00
_cell_angle_gamma 90.00
loop_
_space_group_symop_operation_xyz
'x,y,z'
'-x,-y,z'
'-x,y,z'
'x,-y,z'
'x,y+1/2,z+1/2'
'-x,-y+1/2,z+1/2'
'-x,y+1/2,z+1/2'
'x,-y+1/2,z+1/2'
loop_
_atom_site_label
_atom_site_fract_x
_atom_site_fract_y
_atom_site_fract_z
Co1 0.000 0.000 0.000
Co2 0.000 0.000 0.323
Co3 0.000 0.000 0.663
Co4 0.500 0.000 0.211
Co5 0.500 0.000 0.556
W1 0.500 0.000 0.886
# Total moment (μB per atom): 0.8914
# Crystal system: orthorhombic
# Offset from the most stable computed form (eV per atom): 0.053
# Formation energy from the elements (meV/atom): 72

=====

[4]
# PBE La7HoTm4, optimized geometry
data_La7HoTm4
_chemical_formula_sum 'La7 Ho1 Tm4'
_space_group_name_H-M_alt 'P -1'
_space_group_IT_number 2
_cell_length_a 6.372
_cell_length_b 7.318
_cell_length_c 9.046
_cell_angle_alpha 89.92
_cell_angle_beta 76.34
_cell_angle_gamma 89.94
loop_
_space_group_symop_operation_xyz
'x,y,z'
'-x,-y,-z'
loop_
_atom_site_label
_atom_site_fract_x
_atom_site_fract_y
_atom_site_fract_z
La1 0.000 0.000 0.000
La2 0.224 0.999 0.334
La3 0.281 0.748 0.664
La4 0.500 0.257 0.997
Ho1 0.000 0.500 0.000
Tm1 0.215 0.501 0.336
Tm2 0.276 0.259 0.667
# Total moment (μB per atom): 0.0000
# Crystal system: triclinic
# Formation energy from the elements (meV/atom): 14

=====

[5]
# PBE Hf2RuF, optimized geometry
data_Hf2RuF
_chemical_formula_sum 'Hf8 Ru4 F4'
_space_group_name_H-M_alt 'I -4 2 d'
_space_group_IT_number 122
_space_group_name_Hall 'I -4 2bw'
_cell_length_a 5.307
_cell_length_b 5.307
_cell_length_c 11.396
_cell_angle_alpha 90.00
_cell_angle_beta 90.00
_cell_angle_gamma 90.00
loop_
_atom_site_label
_atom_site_fract_x
_atom_site_fract_y
_atom_site_fract_z
Hf1 0.202 0.250 0.125
Ru1 0.000 0.000 0.500
F1 0.000 0.000 0.000
# Total moment (μB per atom): 0.0000
# Crystal system: tetragonal
# Offset from the most stable computed form (eV per atom): 0.204
# ΔE_f (raw) (eV per atom): -0.58

=====

[6]
# PBE Pm8Zn2Os, optimized geometry
data_Pm8Zn2Os
_chemical_formula_sum 'Pm16 Zn4 Os2'
_space_group_name_H-M_alt 'I m m m'
_space_group_IT_number 71
_space_group_name_Hall '-I 2 2'
_cell_length_a 5.004
_cell_length_b 8.528
_cell_length_c 14.405
_cell_angle_alpha 90.00
_cell_angle_beta 90.00
_cell_angle_gamma 90.00
loop_
_atom_site_label
_atom_site_fract_x
_atom_site_fract_y
_atom_site_fract_z
Pm1 0.000 0.000 0.121
Pm2 0.000 0.229 0.345
Pm3 0.000 0.334 0.000
Zn1 0.000 0.500 0.196
Os1 0.000 0.500 0.500
# Total moment (μB per atom): 0.0000
# Crystal system: orthorhombic
# Offset from the most stable computed form (eV per atom): 0.108
# Formation energy from the elements (meV/atom): -11